[1]
# BaY2Al PBE-GGA optimized geometry
# **D(E_F)**: 8.91 states/eV per cell
# **Mass density**: 4.58 g/cm³
# **Energy of formation from the pure elements**: 0.108 eV per atom
data_BaY2Al
_chemical_formula_sum 'Ba2 Y4 Al2'
_symmetry_space_group_name_H-M 'I -4 m 2'
_symmetry_Int_Tables_number 119
_symmetry_space_group_name_Hall 'I -4 -2'
_cell_length_a 4.944
_cell_length_b 4.944
_cell_length_c 10.148
_cell_angle_alpha 90.00
_cell_angle_beta 90.00
_cell_angle_gamma 90.00
loop_
_atom_site_label
_atom_site_type_symbol
_atom_site_fract_x
_atom_site_fract_y
_atom_site_fract_z
Ba1 Ba 0.000 0.000 0.000
Y1 Y 0.000 0.000 0.500
Y2 Y 0.000 0.500 0.750
Al1 Al 0.000 0.500 0.250

=====

[2]
# Te2MoAuN PBE-GGA optimized geometry
# **Energy above the most stable polymorph in this dataset**: 980 meV/atom
# **D(E_F)**: 2.23 states/eV per cell
# **Raw formation energy**: 1.3548 eV/atom
# **Mass density**: 7.75 g/cm³
data_Te2MoAuN
_chemical_formula_sum 'Te2 Mo1 Au1 N1'
_symmetry_space_group_name_H-M 'P 4/m m m'
_symmetry_Int_Tables_number 123
_symmetry_space_group_name_Hall '-P 4 2'
_cell_length_a 5.575
_cell_length_b 5.575
_cell_length_c 3.873
_cell_angle_alpha 90.00
_cell_angle_beta 90.00
_cell_angle_gamma 90.00
loop_
_atom_site_label
_atom_site_type_symbol
_atom_site_fract_x
_atom_site_fract_y
_atom_site_fract_z
Te1 Te 0.000 0.500 0.000
Mo1 Mo 0.000 0.000 0.500
Au1 Au 0.500 0.500 0.000
N1 N 0.500 0.500 0.500

=====

[3]
# Ce5Si2N2 PBE-GGA optimized geometry
# **D(E_F)**: 88.59 states/eV per cell
# **Raw formation energy**: -0.8408 eV/atom
# **Mass density**: 6.14 g/cm³
data_Ce5Si2N2
_chemical_formula_sum 'Ce20 Si8 N8'
_symmetry_space_group_name_H-M 'I m a 2'
_symmetry_Int_Tables_number 46
_symmetry_space_group_name_Hall 'I 2 -2a'
_cell_length_a 18.851
_cell_length_b 6.991
_cell_length_c 6.439
_cell_angle_alpha 90.00
_cell_angle_beta 90.00
_cell_angle_gamma 90.00
loop_
_atom_site_label
_atom_site_type_symbol
_atom_site_fract_x
_atom_site_fract_y
_atom_site_fract_z
Ce1 Ce 0.012 0.250 0.000
Ce2 Ce 0.141 0.549 0.245
Ce3 Ce 0.250 0.102 0.196
Si1 Si 0.104 0.534 0.752
N1 N 0.000 0.000 0.751
N2 N 0.250 0.091 0.826

=====

[4]
# HoCuI6 PBE-GGA optimized geometry
# **Raw formation energy**: -0.6088 eV/atom
# **Mass density**: 4.48 g/cm³
data_HoCuI6
_chemical_formula_sum 'Ho1 Cu1 I6'
_symmetry_space_group_name_H-M 'P -1'
_symmetry_Int_Tables_number 2
_symmetry_space_group_name_Hall '-P 1'
_cell_length_a 6.242
_cell_length_b 7.750
_cell_length_c 8.458
_cell_angle_alpha 69.28
_cell_angle_beta 73.58
_cell_angle_gamma 85.19
loop_
_atom_site_label
_atom_site_type_symbol
_atom_site_fract_x
_atom_site_fract_y
_atom_site_fract_z
Ho1 Ho 0.000 0.000 0.000
Cu1 Cu 0.500 0.500 0.000
I1 I 0.030 0.813 0.360
I2 I 0.275 0.363 0.849
I3 I 0.410 0.825 0.816

=====

[5]
# PrY2Tl4 PBE-GGA optimized geometry
# **D(E_F)**: 5.96 states/eV per cell
# **Mass density**: 8.77 g/cm³
# **Energy of formation from the pure elements**: -0.230 eV per atom
data_PrY2Tl4
_chemical_formula_sum 'Pr1 Y2 Tl4'
_symmetry_space_group_name_H-M 'P 4/m m m'
_symmetry_Int_Tables_number 123
_symmetry_space_group_name_Hall '-P 4 2'
_cell_length_a 5.286
_cell_length_b 5.286
_cell_length_c 7.704
_cell_angle_alpha 90.00
_cell_angle_beta 90.00
_cell_angle_gamma 90.00
loop_
_atom_site_label
_atom_site_type_symbol
_atom_site_fract_x
_atom_site_fract_y
_atom_site_fract_z
Pr1 Pr 0.000 0.000 0.000
Y1 Y 0.000 0.000 0.500
Y2 Y 0.500 0.500 0.000
Tl1 Tl 0.000 0.500 0.273

=====

[6]
# BiSCl2 PBE-GGA optimized geometry
# **Energy above the most stable polymorph in this dataset**: 653 meV/atom
# **D(E_F)**: 12.50 states/eV per cell
# **Raw formation energy**: 0.1183 eV/atom
# **Mass density**: 5.91 g/cm³
data_BiSCl2
_chemical_formula_sum 'Bi4 S4 Cl8'
_symmetry_space_group_name_H-M 'F m -3 m'
_symmetry_Int_Tables_number 225
_symmetry_space_group_name_Hall '-F 4 2 3'
_cell_length_a 7.051
_cell_length_b 7.051
_cell_length_c 7.051
_cell_angle_alpha 90.00
_cell_angle_beta 90.00
_cell_angle_gamma 90.00
loop_
_atom_site_label
_atom_site_type_symbol
_atom_site_fract_x
_atom_site_fract_y
_atom_site_fract_z
Bi1 Bi 0.000 0.000 0.000
S1 S 0.000 0.000 0.500
Cl1 Cl 0.250 0.250 0.250

=====

Q: What is the mass density in the first record?
A: 4.58 g/cm³

=====

Q: Which of these has the lowest mass density?
A: HoCuI6

=====

Q: The lowest mass density belongs to which entry?
A: HoCuI6

=====

Q: mass density of number 6 (BiSCl2)?
A: 5.91 g/cm³